No. 1
Entry from Alexandria via LeMat-Bulk: a geometry-optimized NbTc2Pt structure (GGA-PBE).

Results
Magnetic moment in μB per formula unit: 0.00
ΔE_f in eV/atom: 0.3496
Space group: No. 122
E above lowest polymorph in meV per atom: 658.6
Total energy in eV/atom: -8.861

Cell: 9.835 9.835 9.835 Å, 157.64 157.64 31.83°
Fractional positions:
Nb (0.000, 0.000, 0.000)
Nb (0.750, 0.250, 0.500)
Tc (0.164, 0.625, 0.039)
Tc (0.375, 0.414, 0.539)
Tc (0.586, 0.125, 0.961)
Tc (0.875, 0.836, 0.461)
Pt (0.250, 0.750, 0.500)
Pt (0.500, 0.500, 0.000)

---

No. 2
Entry from Alexandria via LeMat-Bulk: a geometry-optimized NbTcPt3 structure (GGA-PBE).

Results
Magnetic moment in μB per formula unit: 2.34
ΔE_f in eV/atom: 1.2482
Space group: No. 221
E above lowest polymorph in meV per atom: 0.0
Total energy in eV/atom: -6.463

Cell: 4.757 4.757 4.757 Å, 90.00 90.00 90.00°
Fractional positions:
Nb (0.000, 0.000, 0.000)
Tc (0.500, 0.500, 0.500)
Pt (0.000, 0.500, 0.500)
Pt (0.500, 0.000, 0.500)
Pt (0.500, 0.500, 0.000)

---

No. 3
Entry from Alexandria via LeMat-Bulk: a geometry-optimized NbTc3Pt structure (GGA-PBE).

Results
Magnetic moment in μB per formula unit: 0.00
ΔE_f in eV/atom: 1.8103
Space group: No. 221
E above lowest polymorph in meV per atom: 0.0
Total energy in eV/atom: -7.631

Cell: 4.640 4.640 4.640 Å, 90.00 90.00 90.00°
Fractional positions:
Nb (0.000, 0.000, 0.000)
Tc (0.000, 0.000, 0.500)
Tc (0.000, 0.500, 0.000)
Tc (0.500, 0.000, 0.000)
Pt (0.500, 0.500, 0.500)

---

No. 4
Entry from Alexandria via LeMat-Bulk: a geometry-optimized Nb2TcPt2 structure (GGA-PBE).

Results
Magnetic moment in μB per formula unit: 0.00
ΔE_f in eV/atom: -0.2143
Space group: No. 127
Total energy in eV/atom: -8.732

Cell: 7.122 7.122 3.386 Å, 90.00 90.00 90.00°
Fractional positions:
Nb (0.174, 0.326, 0.000)
Nb (0.326, 0.826, 0.000)
Nb (0.674, 0.174, 0.000)
Nb (0.826, 0.674, 0.000)
Tc (0.000, 0.000, 0.500)
Tc (0.500, 0.500, 0.500)
Pt (0.130, 0.630, 0.500)
Pt (0.370, 0.130, 0.500)
Pt (0.630, 0.870, 0.500)
Pt (0.870, 0.370, 0.500)

---

No. 5
Entry from Alexandria via LeMat-Bulk: a geometry-optimized NbTc2Pt structure (GGA-PBE).

Results
Magnetic moment in μB per formula unit: 0.00
ΔE_f in eV/atom: -0.3090
Space group: No. 123
E above lowest polymorph in meV per atom: 0.0
Total energy in eV/atom: -9.520

Cell: 3.928 3.928 4.023 Å, 90.00 90.00 90.00°
Fractional positions:
Nb (0.000, 0.000, 0.000)
Tc (0.000, 0.500, 0.500)
Tc (0.500, 0.000, 0.500)
Pt (0.500, 0.500, 0.000)

---

No. 6
Entry from Alexandria via LeMat-Bulk: a geometry-optimized NbTc2Pt structure (GGA-PBE).

Results
Magnetic moment in μB per formula unit: 0.00
ΔE_f in eV/atom: 0.0392
Space group: No. 225
E above lowest polymorph in meV per atom: 348.2
Total energy in eV/atom: -9.171

Cell: 4.471 4.471 4.471 Å, 60.00 60.00 60.00°
Fractional positions:
Nb (0.000, 0.000, 0.000)
Tc (0.250, 0.250, 0.250)
Tc (0.750, 0.750, 0.750)
Pt (0.500, 0.500, 0.500)

---

No. 7
Entry from Alexandria via LeMat-Bulk: a geometry-optimized NbTc3Pt structure (GGA-PBE).

Results
Magnetic moment in μB per formula unit: 0.00
ΔE_f in eV/atom: 1.8844
Space group: No. 221
E above lowest polymorph in meV per atom: 74.1
Total energy in eV/atom: -7.557

Cell: 4.681 4.681 4.681 Å, 90.00 90.00 90.00°
Fractional positions:
Nb (0.000, 0.000, 0.000)
Tc (0.000, 0.500, 0.500)
Tc (0.500, 0.000, 0.500)
Tc (0.500, 0.500, 0.000)
Pt (0.500, 0.500, 0.500)

---

No. 8
Entry from Alexandria via LeMat-Bulk: a geometry-optimized NbVTcPt2 structure (GGA-PBE).

Results
Magnetic moment in μB per formula unit: 2.63
ΔE_f in eV/atom: 1.4318
Space group: No. 123
Total energy in eV/atom: -6.895

Cell: 4.869 4.869 4.506 Å, 90.00 90.00 90.00°
Fractional positions:
Nb (0.000, 0.000, 0.000)
V (0.000, 0.000, 0.500)
Tc (0.500, 0.500, 0.500)
Pt (0.000, 0.500, 0.000)
Pt (0.500, 0.000, 0.000)